Material: Pr2AlSiBr2
Method: DFT, PBE
State: relaxed Values from VASP.

```
&SYSTEM
  ibrav = 0, nat = 6, ntyp = 4
/
ATOMIC_SPECIES
Br 79.90 Br.upf
Si 28.09 Si.upf
Pr 140.91 Pr.upf
Al 26.98 Al.upf
CELL_PARAMETERS angstrom
4.182 0.000 0.000
-2.091 3.622 0.000
0.000 0.000 11.911
ATOMIC_POSITIONS crystal
Br 0.333 0.667 0.337
Br 0.000 0.000 0.663
Si 0.333 0.667 0.987
Pr 0.667 0.333 0.821
Pr 0.667 0.333 0.180
Al 0.000 0.000 0.013
```

Computed properties:
**Space group**: P3m1, No. 156
**Uncorrected energy**: -4.91 eV/atom

---

Material: ZrTcNO
Method: DFT, PBE
State: relaxed Values from VASP.

```
&SYSTEM
  ibrav = 0, nat = 8, ntyp = 4
/
ATOMIC_SPECIES
Zr 91.22 Zr.upf
O 16.00 O.upf
Tc 98.00 Tc.upf
N 14.01 N.upf
CELL_PARAMETERS angstrom
3.198 0.000 0.000
0.000 5.595 0.000
0.000 0.000 5.826
ATOMIC_POSITIONS crystal
Zr 0.500 0.864 0.027
Zr 0.500 0.136 0.527
O 0.500 0.211 0.166
O 0.500 0.789 0.666
Tc 0.000 0.689 0.434
Tc 0.000 0.311 0.934
N 0.000 0.613 0.119
N 0.000 0.387 0.619
```

Computed properties:
**Space group**: Pmc2_1, No. 26
**Relative energy among the computed polymorphs**: 0.489 eV/atom

---

Material: Sm3Fe2B2C3
Method: DFT, PBE
State: relaxed Values from VASP.

```
&SYSTEM
  ibrav = 0, nat = 10, ntyp = 4
/
ATOMIC_SPECIES
Sm 150.36 Sm.upf
C 12.01 C.upf
Fe 55.84 Fe.upf
B 10.81 B.upf
CELL_PARAMETERS angstrom
-1.822 1.822 10.625
1.822 -1.822 10.625
1.822 1.822 -10.625
ATOMIC_POSITIONS crystal
Sm 0.623 0.623 0.000
Sm 0.377 0.377 0.000
Sm 0.000 0.000 0.000
C 0.878 0.878 0.000
C 0.500 0.500 0.000
C 0.122 0.122 0.000
Fe 0.250 0.750 0.500
Fe 0.750 0.250 0.500
B 0.808 0.808 0.000
B 0.192 0.192 0.000
```

Computed properties:
**Space group**: I4/mmm, No. 139
**Uncorrected energy**: -7.35 eV/atom

---

Material: PmNbGa
Method: DFT, PBE
State: relaxed Values from VASP.

```
&SYSTEM
  ibrav = 0, nat = 3, ntyp = 3
/
ATOMIC_SPECIES
Pm 145.00 Pm.upf
Nb 92.91 Nb.upf
Ga 69.72 Ga.upf
CELL_PARAMETERS angstrom
-1.084 3.561 2.845
-0.122 4.377 -1.667
-4.102 2.213 -0.475
ATOMIC_POSITIONS crystal
Pm 0.750 0.750 0.750
Nb 0.250 0.250 0.250
Ga 0.000 0.000 0.000
```

Computed properties:
**Space group**: F-43m, No. 216
**Relative energy among the computed polymorphs**: 0.000 eV/atom

---

Material: CdSiO3
Method: DFT, PBE
State: relaxed Values from VASP.

```
&SYSTEM
  ibrav = 0, nat = 10, ntyp = 3
/
ATOMIC_SPECIES
O 16.00 O.upf
Si 28.09 Si.upf
Cd 112.41 Cd.upf
CELL_PARAMETERS angstrom
-1.447 8.919 1.515
-0.632 0.389 -2.890
-4.410 -0.860 0.849
ATOMIC_POSITIONS crystal
O 0.397 0.500 0.727
O 0.103 0.500 0.727
O 0.750 0.000 0.658
O 0.603 0.500 0.273
O 0.897 0.500 0.273
O 0.250 0.000 0.342
Si 0.750 0.500 0.462
Si 0.250 0.500 0.538
Cd 0.000 0.000 0.000
Cd 0.500 0.000 0.000
```

Computed properties:
**Space group**: Pmma, No. 51
**Uncorrected energy**: -6.17 eV/atom

---

Material: NdUOs
Method: DFT, PBE
State: relaxed Values from VASP.

```
&SYSTEM
  ibrav = 0, nat = 3, ntyp = 3
/
ATOMIC_SPECIES
U 238.03 U.upf
Os 190.23 Os.upf
Nd 144.24 Nd.upf
CELL_PARAMETERS angstrom
0.000 3.401 3.401
3.401 0.000 3.401
3.401 3.401 0.000
ATOMIC_POSITIONS crystal
U 0.750 0.750 0.750
Os 0.000 0.000 0.000
Nd 0.250 0.250 0.250
```

Computed properties:
**Space group**: F-43m, No. 216
**Formation energy**: 0.95 eV per formula unit
**Relative energy among the computed polymorphs**: 0.000 eV/atom

---

Material: LuMg2Co
Method: DFT, PBE
State: relaxed Values from VASP.

```
&SYSTEM
  ibrav = 0, nat = 4, ntyp = 3
/
ATOMIC_SPECIES
Mg 24.30 Mg.upf
Co 58.93 Co.upf
Lu 174.97 Lu.upf
CELL_PARAMETERS angstrom
-4.568 -0.193 -1.233
-3.332 1.483 3.020
-2.385 3.995 -0.880
ATOMIC_POSITIONS crystal
Mg 0.000 0.000 0.000
Mg 0.750 0.750 0.750
Co 0.500 0.500 0.500
Lu 0.250 0.250 0.250
```

Computed properties:
**Space group**: F-43m, No. 216
**Uncorrected energy**: -3.59 eV/atom

---

Material: NdB4Sb
Method: DFT, PBE
State: relaxed Values from VASP.

```
&SYSTEM
  ibrav = 0, nat = 6, ntyp = 3
/
ATOMIC_SPECIES
B 10.81 B.upf
Nd 144.24 Nd.upf
Sb 121.76 Sb.upf
CELL_PARAMETERS angstrom
3.256 0.000 0.000
-1.628 2.819 0.000
0.000 0.000 8.278
ATOMIC_POSITIONS crystal
B 0.333 0.667 0.251
B 0.667 0.333 0.749
B 0.333 0.667 0.749
B 0.667 0.333 0.251
Nd 0.000 0.000 0.000
Sb 0.000 0.000 0.500
```

Computed properties:
**Space group**: P6/mmm, No. 191
**Relative energy among the computed polymorphs**: 0.130 eV/atom

---

Material: LuZrNO
Method: DFT, PBE
State: relaxed Values from VASP.

```
&SYSTEM
  ibrav = 0, nat = 16, ntyp = 4
/
ATOMIC_SPECIES
N 14.01 N.upf
Zr 91.22 Zr.upf
Lu 174.97 Lu.upf
O 16.00 O.upf
CELL_PARAMETERS angstrom
4.654 0.000 0.000
0.000 6.377 0.000
0.000 0.000 7.865
ATOMIC_POSITIONS crystal
N 0.050 0.936 0.872
N 0.550 0.564 0.872
N 0.550 0.064 0.128
N 0.050 0.436 0.128
Zr 0.551 0.443 0.611
Zr 0.051 0.557 0.389
Zr 0.551 0.943 0.389
Zr 0.051 0.057 0.611
Lu 0.051 0.082 0.131
Lu 0.551 0.418 0.131
Lu 0.051 0.582 0.869
Lu 0.551 0.918 0.869
O 0.551 0.105 0.643
O 0.051 0.395 0.643
O 0.051 0.895 0.357
O 0.551 0.605 0.357
```

Computed properties:
**Space group**: Pbcm, No. 57
**Relative energy among the computed polymorphs**: 0.000 eV/atom

---

Material: Sm2Dy2CI5
Method: DFT, PBE
State: relaxed Values from VASP.

```
&SYSTEM
  ibrav = 0, nat = 10, ntyp = 4
/
ATOMIC_SPECIES
C 12.01 C.upf
Sm 150.36 Sm.upf
I 126.90 I.upf
Dy 162.50 Dy.upf
CELL_PARAMETERS angstrom
-3.830 6.666 -6.005
-6.645 6.389 -3.191
4.834 4.829 5.313
ATOMIC_POSITIONS crystal
C 0.500 0.500 0.000
Sm 0.367 0.367 0.934
Sm 0.633 0.633 0.066
I 0.834 0.834 0.187
I 0.166 0.166 0.813
I 0.500 0.500 0.500
I 0.162 0.162 0.348
I 0.838 0.838 0.652
Dy 0.001 0.001 0.811
Dy 0.999 0.999 0.189
```

Computed properties:
**Space group**: C2/m, No. 12
**Relative energy among the computed polymorphs**: 0.008 eV/atom

---

Material: Cs4SnHg2Pb
Method: DFT, PBE
State: relaxed Values from VASP.

```
&SYSTEM
  ibrav = 0, nat = 8, ntyp = 4
/
ATOMIC_SPECIES
Hg 200.59 Hg.upf
Cs 132.91 Cs.upf
Sn 118.71 Sn.upf
Pb 207.20 Pb.upf
CELL_PARAMETERS angstrom
7.252 0.000 0.000
0.000 6.035 4.381
0.000 -6.035 4.381
ATOMIC_POSITIONS crystal
Hg 0.253 0.997 0.997
Hg 0.747 0.997 0.997
Cs 0.000 0.488 0.826
Cs 0.500 0.176 0.516
Cs 0.000 0.826 0.488
Cs 0.500 0.516 0.176
Sn 0.500 0.747 0.747
Pb 0.000 0.254 0.254
```

Computed properties:
**Space group**: Amm2, No. 38
**Uncorrected energy**: -1.71 eV/atom

---

Material: Li2ZnO2
Method: DFT, PBE
State: relaxed Values from VASP.

```
&SYSTEM
  ibrav = 0, nat = 5, ntyp = 3
/
ATOMIC_SPECIES
O 16.00 O.upf
Li 6.94 Li.upf
Zn 65.41 Zn.upf
CELL_PARAMETERS angstrom
-0.612 2.387 1.691
-2.550 -1.693 -1.174
0.523 -2.859 4.222
ATOMIC_POSITIONS crystal
O 0.857 0.714 0.753
O 0.143 0.286 0.247
Li 0.834 0.667 0.362
Li 0.166 0.333 0.638
Zn 0.500 0.000 0.000
```

Computed properties:
**Space group**: C2/m, No. 12
**Uncorrected energy**: -4.61 eV/atom